! PuAl2Au PBE-GGA relaxed; values from VASP
&SYSTEM
  ibrav = 0, nat = 16, ntyp = 3
/
ATOMIC_SPECIES
Pu 244.00 Pu.upf
Al 26.98 Al.upf
Au 196.97 Au.upf
CELL_PARAMETERS angstrom
4.5567 0.0000 0.0000
0.0000 6.7312 0.0000
0.0000 0.0000 10.3587
ATOMIC_POSITIONS crystal
Pu 0.7500 0.7186 0.3344
Pu 0.7500 0.2186 0.1656
Pu 0.2500 0.2814 0.6656
Pu 0.2500 0.7814 0.8344
Al 0.7500 0.7844 0.0403
Al 0.2500 0.2156 0.9597
Al 0.7500 0.2844 0.4597
Al 0.2500 0.7156 0.5403
Al 0.7500 0.0816 0.8473
Al 0.2500 0.4184 0.3473
Al 0.7500 0.5816 0.6527
Al 0.2500 0.9184 0.1527
Au 0.2500 0.0389 0.3938
Au 0.7500 0.9611 0.6062
Au 0.2500 0.5389 0.1062
Au 0.7500 0.4611 0.8938
! - VASP energy: -6.6914 eV/atom
! - Density of states at the Fermi level: 9.61 states/eV/f.u.
! - E_form: -0.42 eV/atom
! - Magnetic moment: 21.73 Bohr magnetons per cell